# RbLa3Mg

A geometry-optimized RbLa3Mg structure (PBE, the Alexandria database).

Results
Space group: No. 221
Excess energy over the best structure of this formula in the dataset, eV/atom: 0.464
E_tot, eV/cell: -12.22
Theoretical density, g/cm3: 4.55
Formation enthalpy at 0 K, eV per formula unit: 5.1

```
5
Lattice="5.771 0.000 0.000 0.000 5.771 0.000 0.000 0.000 5.771" Properties=species:S:1:pos:R:3 pbc="T T T"
Rb 0.000 0.000 0.000
La 0.000 0.000 2.886
La 0.000 2.886 0.000
La 2.886 0.000 0.000
Mg 2.886 2.886 2.886
```